The following is a PBE calculation of a relaxed structure of ZrScAu, from Alexandria.

Calculated values
symmetry = Amm2, No. 38
ΔE to the lowest computed polymorph = 0.047 eV/atom
raw total energy = -6.478 eV per atom
DFT formation energy = -123 kJ/mol of formula units

abc: 4.9273 8.0425 8.0425
angles: 23.30 90.00 90.00
Atoms (fractional coordinates):
Zr: 0.0000 0.0000 0.0000
Zr: 0.5000 0.1273 0.1273
Sc: 0.0000 0.6821 0.6821
Sc: 0.5000 0.8120 0.8120
Au: 0.0000 0.3373 0.3373
Au: 0.5000 0.4628 0.4628

The following is a PBE calculation of a relaxed structure of ZrScAu, from Alexandria.

Calculated values
symmetry = Pnma, No. 62
ΔE to the lowest computed polymorph = 0.016 eV/atom
raw total energy = -6.509 eV per atom
DFT formation energy = -132 kJ/mol of formula units

abc: 6.6735 3.3362 11.4257
angles: 90.00 90.00 90.00
Atoms (fractional coordinates):
Zr: 0.1262 0.2500 0.0867
Zr: 0.3738 0.7500 0.5867
Zr: 0.6262 0.2500 0.4133
Zr: 0.8738 0.7500 0.9133
Sc: 0.1210 0.2500 0.4028
Sc: 0.3790 0.7500 0.9028
Sc: 0.6210 0.2500 0.0972
Sc: 0.8790 0.7500 0.5972
Au: 0.1288 0.2500 0.7572
Au: 0.3712 0.7500 0.2572
Au: 0.6288 0.2500 0.7428
Au: 0.8712 0.7500 0.2428

The following is a PBE calculation of a relaxed structure of Zr3ScAu, from Alexandria.

Calculated values
symmetry = Pm-3m, No. 221
ΔE to the lowest computed polymorph = 0.499 eV/atom
raw total energy = -6.009 eV per atom
DFT formation energy = 503 kJ/mol of formula units

abc: 4.9711 4.9711 4.9711
angles: 90.00 90.00 90.00
Atoms (fractional coordinates):
Zr: 0.0000 0.0000 0.5000
Zr: 0.0000 0.5000 0.0000
Zr: 0.5000 0.0000 0.0000
Sc: 0.0000 0.0000 0.0000
Au: 0.5000 0.5000 0.5000

The following is a PBE calculation of a relaxed structure of ZrScAu, from Alexandria.

Calculated values
symmetry = Cmmm, No. 65
ΔE to the lowest computed polymorph = 0.025 eV/atom
raw total energy = -6.500 eV per atom
DFT formation energy = -130 kJ/mol of formula units

abc: 6.1090 6.1090 4.7498
angles: 90.00 90.00 134.28
Atoms (fractional coordinates):
Zr: 0.1615 0.8385 0.0000
Zr: 0.8385 0.1615 0.0000
Sc: 0.3438 0.6562 0.5000
Sc: 0.6562 0.3438 0.5000
Au: 0.0000 0.0000 0.5000
Au: 0.5000 0.5000 0.0000

The following is a PBE calculation of a relaxed structure of ZrScAu, from Alexandria.

Calculated values
symmetry = P4/nmm, No. 129
ΔE to the lowest computed polymorph = 0.060 eV/atom
raw total energy = -6.466 eV per atom
DFT formation energy = -120 kJ/mol of formula units

abc: 4.2480 4.2480 7.3107
angles: 90.00 90.00 90.00
Atoms (fractional coordinates):
Zr: 0.2500 0.7500 0.0000
Zr: 0.7500 0.2500 0.0000
Sc: 0.2500 0.2500 0.3558
Sc: 0.7500 0.7500 0.6442
Au: 0.2500 0.2500 0.7225
Au: 0.7500 0.7500 0.2775

The following is a PBE calculation of a relaxed structure of ZrSc2Au, from Alexandria.

Calculated values
symmetry = P4mm, No. 99
ΔE to the lowest computed polymorph = 0.037 eV/atom
raw total energy = -6.434 eV per atom
DFT formation energy = -120 kJ/mol of formula units

abc: 3.2683 3.2683 8.3013
angles: 90.00 90.00 90.00
Atoms (fractional coordinates):
Zr: 0.0000 0.0000 0.0000
Sc: 0.0000 0.0000 0.4511
Sc: 0.5000 0.5000 0.7444
Au: 0.5000 0.5000 0.2438

The following is a PBE calculation of a relaxed structure of ZrSc2Au, from Alexandria.

Calculated values
symmetry = R3m, No. 160
ΔE to the lowest computed polymorph = 0.189 eV/atom
raw total energy = -6.281 eV per atom
DFT formation energy = -61 kJ/mol of formula units

abc: 9.9284 9.9284 9.9284
angles: 18.97 18.97 18.97
Atoms (fractional coordinates):
Zr: 0.0000 0.0000 0.0000
Sc: 0.5130 0.5130 0.5130
Sc: 0.7525 0.7525 0.7525
Au: 0.2536 0.2536 0.2536

The following is a PBE calculation of a relaxed structure of ZrScAu6, from Alexandria.

Calculated values
symmetry = C2/m, No. 12
raw total energy = -4.842 eV per atom
DFT formation energy = -404 kJ/mol of formula units

abc: 5.0149 5.0149 8.6635
angles: 115.60 115.60 51.34
Atoms (fractional coordinates):
Zr: 0.0000 0.0000 0.0000
Sc: 0.0000 0.0000 0.5000
Au: 0.2486 0.2486 0.8734
Au: 0.2516 0.2516 0.3766
Au: 0.4995 0.4995 0.7511
Au: 0.5005 0.5005 0.2489
Au: 0.7484 0.7484 0.6234
Au: 0.7514 0.7514 0.1266

The following is a PBE calculation of a relaxed structure of ZrSc2Au, from Alexandria.

Calculated values
symmetry = F-43m, No. 216
ΔE to the lowest computed polymorph = 0.200 eV/atom
raw total energy = -6.271 eV per atom
DFT formation energy = -57 kJ/mol of formula units

abc: 4.9148 4.9148 4.9148
angles: 60.00 60.00 60.00
Atoms (fractional coordinates):
Zr: 0.0000 0.0000 0.0000
Sc: 0.2500 0.2500 0.2500
Sc: 0.5000 0.5000 0.5000
Au: 0.7500 0.7500 0.7500

The following is a PBE calculation of a relaxed structure of ZrScAu, from Alexandria.

Calculated values
symmetry = Cm, No. 8
ΔE to the lowest computed polymorph = 0.046 eV/atom
raw total energy = -6.480 eV per atom
DFT formation energy = -124 kJ/mol of formula units

abc: 7.6985 7.6985 5.0117
angles: 91.29 91.29 25.26
Atoms (fractional coordinates):
Zr: 0.0000 0.0000 0.0000
Zr: 0.6781 0.6781 0.0170
Sc: 0.1471 0.1471 0.5114
Sc: 0.8352 0.8352 0.5571
Au: 0.3338 0.3338 0.0851
Au: 0.4976 0.4976 0.4896

The following is a PBE calculation of a relaxed structure of ZrScAu3, from Alexandria.

Calculated values
symmetry = Pm-3m, No. 221
ΔE to the lowest computed polymorph = 0.000 eV/atom
raw total energy = -4.564 eV per atom
DFT formation energy = 183 kJ/mol of formula units

abc: 4.9469 4.9469 4.9469
angles: 90.00 90.00 90.00
Atoms (fractional coordinates):
Zr: 0.0000 0.0000 0.0000
Sc: 0.5000 0.5000 0.5000
Au: 0.0000 0.5000 0.5000
Au: 0.5000 0.0000 0.5000
Au: 0.5000 0.5000 0.0000

The following is a PBE calculation of a relaxed structure of ZrSc2Au, from Alexandria.

Calculated values
symmetry = Pmm2, No. 25
ΔE to the lowest computed polymorph = 0.085 eV/atom
raw total energy = -6.386 eV per atom
DFT formation energy = -102 kJ/mol of formula units

abc: 3.5089 3.8637 6.3635
angles: 90.00 90.00 90.00
Atoms (fractional coordinates):
Zr: 0.0000 0.0000 0.0000
Sc: 0.0000 0.0000 0.4841
Sc: 0.5000 0.5000 0.7554
Au: 0.5000 0.5000 0.2542

The following is a PBE calculation of a relaxed structure of ZrScAu, from Alexandria.

Calculated values
symmetry = Cmcm, No. 63
ΔE to the lowest computed polymorph = 0.057 eV/atom
raw total energy = -6.469 eV per atom
DFT formation energy = -121 kJ/mol of formula units

abc: 4.8502 4.8502 6.1883
angles: 90.00 90.00 119.87
Atoms (fractional coordinates):
Zr: 0.1662 0.8338 0.7500
Zr: 0.8338 0.1662 0.2500
Sc: 0.5000 0.5000 0.0000
Sc: 0.5000 0.5000 0.5000
Au: 0.1673 0.8327 0.2500
Au: 0.8327 0.1673 0.7500

The following is a PBE calculation of a relaxed structure of ZrScAu, from Alexandria.

Calculated values
symmetry = P3m1, No. 156
ΔE to the lowest computed polymorph = 0.234 eV/atom
raw total energy = -6.291 eV per atom
DFT formation energy = -69 kJ/mol of formula units

abc: 4.7138 4.7138 3.3342
angles: 90.00 90.00 120.00
Atoms (fractional coordinates):
Zr: 0.0000 0.0000 0.0000
Sc: 0.6667 0.3333 0.5544
Au: 0.3333 0.6667 0.2512